The following is a DFT calculation (PBE-GGA) of an optimized crystal structure of CdIn2GaTe6.

Cell lengths 14.799, 15.076, 7.537 Å; angles 90.00, 115.07, 90.00 degrees
Space group C2/c (No. 15)
Unique sites:
Cd: 0.000 0.175 0.250 [4 per cell]
In: 0.186 0.411 0.194 [8 per cell]
Ga: 0.000 0.167 0.750 [4 per cell]
Te: 0.099 0.437 0.463 [8 per cell]
Te: 0.105 0.066 0.605 [8 per cell]
Te: 0.137 0.229 0.091 [8 per cell]

## Properties
density = 5.13 g/cm3
crystal system = monoclinic
magnetic moment = 0.00 μB/cell
uncorrected formation energy = -0.213 eV per atom